# PmNd10Y4

Crystalline PmNd10Y4 at its relaxed geometry (GGA-PBE, Alexandria).

Computed properties:
Formation enthalpy at 0 K, eV/atom: 0.716
DOS(E_F), states/eV per cell: 23.053
Volume, A^3/atom: 40.626

```
data_PmNd10Y4
_chemical_formula_sum 'Pm1 Nd10 Y4'
_space_group_name_H-M_alt 'P 1'
_space_group_IT_number 1
_space_group_name_Hall 'P 1'
_cell_length_a 7.855
_cell_length_b 9.644
_cell_length_c 9.644
_cell_angle_alpha 80.45
_cell_angle_beta 65.97
_cell_angle_gamma 65.97
loop_
_atom_site_label
_atom_site_fract_x
_atom_site_fract_y
_atom_site_fract_z
Pm1 0.000 0.000 0.000
Nd1 0.250 0.500 0.500
Nd2 0.650 0.300 0.899
Nd3 0.050 0.101 0.300
Nd4 0.451 0.899 0.700
Nd5 0.849 0.700 0.101
Nd6 0.350 0.700 0.101
Nd7 0.750 0.500 0.500
Nd8 0.151 0.300 0.899
Nd9 0.549 0.101 0.300
Nd10 0.950 0.899 0.700
Y1 0.400 0.801 0.400
Y2 0.800 0.600 0.801
Y3 0.200 0.400 0.199
Y4 0.600 0.199 0.600
```